First-principles (PBE) data for a relaxed ZrCo2As crystal, as listed in the Alexandria database.

Results
The calculation puts the total energy at -7.19 eV/atom. The calculated density is 7.782 g/cm³. Its space-group type is R3m (160).

Cell: 3.966 3.966 5.003 Å, 66.65 66.65 60.01°
Sites, in units of the cell vectors:
As: 0.314 0.314 0.058
Co: 0.946 0.946 0.162
Co: 0.725 0.725 0.824
Zr: 0.515 0.515 0.456